(1)
# AlCu3Ni2

A relaxed AlCu3Ni2 crystal (GGA-PBE, Alexandria).

Results
The symmetry is P-3m1. Its magnetization is 0.51 μB/cell. The value obtained for the formation energy is -172 meV/atom.

Cell: 5.1269 5.1269 6.2264 Å, 90.00 90.00 120.00°
Last column: nearest neighbours and their distance in Å.
Sites, in units of the cell vectors:
Al: 0.3333 0.6667 0.3195  3 Ni 2.48, 9 Cu 2.56-2.63
Al: 0.6667 0.3333 0.6805  3 Ni 2.48, 9 Cu 2.56-2.63
Cu: 0.1668 0.3336 0.6694  3 Ni 2.53-2.54, 6 Cu 2.56-2.58, 3 Al 2.56-2.63
Cu: 0.1668 0.8332 0.6694  3 Ni 2.53-2.54, 6 Cu 2.56-2.58, 3 Al 2.56-2.63
Cu: 0.3336 0.1668 0.3306  3 Ni 2.53-2.54, 6 Cu 2.56-2.58, 3 Al 2.56-2.63
Cu: 0.6664 0.8332 0.6694  3 Ni 2.53-2.54, 6 Cu 2.56-2.58, 3 Al 2.56-2.63
Cu: 0.8332 0.1668 0.3306  3 Ni 2.53-2.54, 6 Cu 2.56-2.58, 3 Al 2.56-2.63
Cu: 0.8332 0.6664 0.3306  3 Ni 2.53-2.54, 6 Cu 2.56-2.58, 3 Al 2.56-2.63
Ni: 0.0000 0.0000 0.0000  6 Cu 2.54, 6 Ni 2.56
Ni: 0.0000 0.5000 0.0000  2 Al 2.48, 4 Cu 2.53, 6 Ni 2.56
Ni: 0.5000 0.0000 0.0000  2 Al 2.48, 4 Cu 2.53, 6 Ni 2.56
Ni: 0.5000 0.5000 0.0000  2 Al 2.48, 4 Cu 2.53, 6 Ni 2.56

(2)
# Al2Cu2Ni

A relaxed Al2Cu2Ni crystal (GGA-PBE, Alexandria).

Results
The symmetry is P4mm. Its magnetization is 0.00 μB/cell. The value obtained for the formation energy is -264 meV/atom.

Cell: 3.0165 3.0165 13.8625 Å, 90.00 90.00 90.00°
Last column: nearest neighbours and their distance in Å.
Sites, in units of the cell vectors:
Al: 0.0000 0.0000 0.0000  4 Cu 2.53, 5 Ni 2.57-2.66, 1 Al 2.74
Al: 0.0000 0.0000 0.1979  4 Ni 2.51, 4 Cu 2.60, 1 Al 2.74
Al: 0.0000 0.0000 0.4082  8 Cu 2.57
Al: 0.0000 0.0000 0.6190  8 Cu 2.51-2.60, 1 Ni 2.62
Cu: 0.5000 0.5000 0.3047  8 Al 2.57-2.60, 1 Ni 2.80, 1 Cu 2.86
Cu: 0.5000 0.5000 0.5114  8 Al 2.57-2.60, 2 Cu 2.81-2.86
Cu: 0.5000 0.5000 0.7142  4 Ni 2.50, 4 Al 2.51, 1 Cu 2.61
Cu: 0.5000 0.5000 0.9024  5 Ni 2.50-2.78, 4 Al 2.53, 1 Cu 2.61
Ni: 0.0000 0.0000 0.8083  8 Cu 2.50, 2 Al 2.62-2.66
Ni: 0.5000 0.5000 0.1028  8 Al 2.51-2.57, 2 Cu 2.78-2.80

(3)
# AlCuNi2

A relaxed AlCuNi2 crystal (GGA-PBE, Alexandria).

Results
The symmetry is P-6m2. Its magnetization is 0.00 μB/cell. The value obtained for the formation energy is -190 meV/atom.

Cell: 2.6463 2.6463 7.8881 Å, 90.00 90.00 120.00°
Last column: nearest neighbours and their distance in Å.
Sites, in units of the cell vectors:
Al: 0.0000 0.0000 0.0000  6 Ni 2.44, 6 Al 2.65
Cu: 0.0000 0.0000 0.5000  6 Ni 2.55, 6 Cu 2.65
Ni: 0.3333 0.6667 0.2417  3 Al 2.44, 3 Cu 2.55, 6 Ni 2.65
Ni: 0.3333 0.6667 0.7583  3 Al 2.44, 3 Cu 2.55, 6 Ni 2.65

(4)
# AlCu2Ni6

A relaxed AlCu2Ni6 crystal (GGA-PBE, Alexandria).

Results
The symmetry is P-31m. Its magnetization is 0.00 μB/cell. The value obtained for the formation energy is -14 meV/atom.

Cell: 6.9411 6.9411 2.4737 Å, 90.00 90.00 120.00°
Last column: nearest neighbours and their distance in Å.
Sites, in units of the cell vectors:
Al: 0.0000 0.0000 0.0000  6 Ni 2.37, 2 Al 2.47
Cu: 0.3333 0.6667 0.5000  6 Ni 2.41, 2 Cu 2.47
Cu: 0.6667 0.3333 0.5000  6 Ni 2.41, 2 Cu 2.47
Ni: 0.0000 0.3319 0.2302  1 Al 2.37, 2 Cu 2.41, 5 Ni 2.47-2.60
Ni: 0.0000 0.6681 0.7698  1 Al 2.37, 2 Cu 2.41, 5 Ni 2.47-2.60
Ni: 0.3319 0.0000 0.2302  1 Al 2.37, 2 Cu 2.41, 5 Ni 2.47-2.60
Ni: 0.3319 0.3319 0.7698  1 Al 2.37, 2 Cu 2.41, 5 Ni 2.47-2.60
Ni: 0.6681 0.0000 0.7698  1 Al 2.37, 2 Cu 2.41, 5 Ni 2.47-2.60
Ni: 0.6681 0.6681 0.2302  1 Al 2.37, 2 Cu 2.41, 5 Ni 2.47-2.60

(5)
# Al4CuNi2

A relaxed Al4CuNi2 crystal (GGA-PBE, Alexandria).

Results
The symmetry is P-1. Its magnetization is 0.00 μB/cell. The value obtained for the formation energy is -422 meV/atom.

Cell: 2.9219 2.9366 21.8815 Å, 93.35 93.50 90.02°
Last column: nearest neighbours and their distance in Å.
Sites, in units of the cell vectors:
Al: 0.0514 0.0560 0.0593  4 Cu 2.55-2.58, 1 Al 2.59
Al: 0.1124 0.1140 0.2002  4 Ni 2.49, 4 Cu 2.59
Al: 0.1724 0.1727 0.3297  8 Ni 2.52-2.55, 1 Al 2.80
Al: 0.2311 0.2309 0.4580  4 Ni 2.45
Al: 0.7689 0.7691 0.5420  4 Ni 2.45
Al: 0.8276 0.8273 0.6703  8 Ni 2.52-2.55, 1 Al 2.80
Al: 0.8876 0.8860 0.7998  4 Ni 2.49, 4 Cu 2.59
Al: 0.9486 0.9440 0.9407  4 Cu 2.55-2.58, 1 Al 2.59
Cu: 0.4201 0.4181 0.8712  8 Al 2.55-2.59
Cu: 0.5799 0.5819 0.1288  8 Al 2.55-2.59
Ni: 0.2962 0.2960 0.6021  8 Al 2.45-2.55
Ni: 0.3583 0.3578 0.7363  8 Al 2.49-2.53
Ni: 0.6417 0.6422 0.2637  8 Al 2.49-2.53
Ni: 0.7038 0.7040 0.3979  8 Al 2.45-2.55

(6)
# AlCuNi3

A relaxed AlCuNi3 crystal (GGA-PBE, Alexandria).

Results
The symmetry is Pm-3m. Its magnetization is 0.00 μB/cell. The value obtained for the formation energy is 808 meV/atom.

Cell: 4.2306 4.2306 4.2306 Å, 90.00 90.00 90.00°
Last column: nearest neighbours and their distance in Å.
Sites, in units of the cell vectors:
Al: 0.0000 0.0000 0.0000  6 Ni 2.12
Cu: 0.5000 0.5000 0.5000  12 Ni 2.99
Ni: 0.0000 0.0000 0.5000  2 Al 2.12
Ni: 0.0000 0.5000 0.0000  2 Al 2.12
Ni: 0.5000 0.0000 0.0000  2 Al 2.12

(7)
# Al4CuNi2

A relaxed Al4CuNi2 crystal (GGA-PBE, Alexandria).

Results
The symmetry is Pmc2_1. Its magnetization is 0.00 μB/cell. The value obtained for the formation energy is -418 meV/atom.

Cell: 2.9314 2.8195 22.7973 Å, 90.00 90.00 90.00°
Last column: nearest neighbours and their distance in Å.
Sites, in units of the cell vectors:
Al: 0.0000 0.1979 0.0000  8 Ni 2.50-2.51
Al: 0.0000 0.1994 0.8732  4 Ni 2.48, 4 Cu 2.59-2.60
Al: 0.0000 0.2064 0.1280  4 Ni 2.48-2.52, 1 Al 2.68
Al: 0.0000 0.2196 0.7331  4 Cu 2.55-2.60, 3 Al 2.68-2.82
Al: 0.0000 0.7804 0.2331  4 Cu 2.55-2.60, 3 Al 2.68-2.82
Al: 0.0000 0.7936 0.6280  4 Ni 2.48-2.52, 1 Al 2.68
Al: 0.0000 0.8006 0.3732  4 Ni 2.48, 4 Cu 2.59-2.60
Al: 0.0000 0.8021 0.5000  8 Ni 2.50-2.51
Cu: 0.5000 0.2969 0.3025  8 Al 2.55-2.60, 2 Cu 2.82
Cu: 0.5000 0.7031 0.8025  8 Al 2.55-2.60, 2 Cu 2.82
Ni: 0.5000 0.3016 0.4354  8 Al 2.48-2.51
Ni: 0.5000 0.3035 0.5642  8 Al 2.48-2.52
Ni: 0.5000 0.6965 0.0642  8 Al 2.48-2.52
Ni: 0.5000 0.6984 0.9354  8 Al 2.48-2.51

(8)
# Al2Cu2Ni

A relaxed Al2Cu2Ni crystal (GGA-PBE, Alexandria).

Results
The symmetry is P4/mbm. Its magnetization is 0.00 μB/cell. The value obtained for the formation energy is -149 meV/atom.

Cell: 6.7233 6.7233 2.8878 Å, 90.00 90.00 90.00°
Last column: nearest neighbours and their distance in Å.
Sites, in units of the cell vectors:
Al: 0.1722 0.3278 0.0000  6 Cu 2.38-2.50
Al: 0.3278 0.8278 0.0000  6 Cu 2.38-2.50
Al: 0.6722 0.1722 0.0000  6 Cu 2.38-2.50
Al: 0.8278 0.6722 0.0000  6 Cu 2.38-2.50
Cu: 0.1287 0.6287 0.5000  6 Al 2.38-2.50, 1 Cu 2.45, 2 Ni 2.64
Cu: 0.3713 0.1287 0.5000  6 Al 2.38-2.50, 1 Cu 2.45, 2 Ni 2.64
Cu: 0.6287 0.8713 0.5000  6 Al 2.38-2.50, 1 Cu 2.45, 2 Ni 2.64
Cu: 0.8713 0.3713 0.5000  6 Al 2.38-2.50, 1 Cu 2.45, 2 Ni 2.64
Ni: 0.0000 0.0000 0.5000  4 Cu 2.64, 8 Al 2.88, 2 Ni 2.89
Ni: 0.5000 0.5000 0.5000  4 Cu 2.64, 8 Al 2.88, 2 Ni 2.89

(9)
# Al2CuNi5

A relaxed Al2CuNi5 crystal (GGA-PBE, Alexandria).

Results
The symmetry is Pbam. Its magnetization is 0.00 μB/cell. The value obtained for the formation energy is -415 meV/atom.

Cell: 5.0269 10.0448 3.6291 Å, 90.00 90.00 90.00°
Last column: nearest neighbours and their distance in Å.
Sites, in units of the cell vectors:
Al: 0.2325 0.1290 0.0000  10 Ni 2.49-2.54, 2 Cu 2.60
Al: 0.2675 0.6290 0.0000  10 Ni 2.49-2.54, 2 Cu 2.60
Al: 0.7325 0.3710 0.0000  10 Ni 2.49-2.54, 2 Cu 2.60
Al: 0.7675 0.8710 0.0000  10 Ni 2.49-2.54, 2 Cu 2.60
Cu: 0.0000 0.5000 0.5000  8 Ni 2.50-2.51, 4 Al 2.60
Cu: 0.5000 0.0000 0.5000  8 Ni 2.50-2.51, 4 Al 2.60
Ni: 0.0000 0.0000 0.5000  2 Cu 2.51, 6 Ni 2.51-2.56, 4 Al 2.52
Ni: 0.0185 0.7499 0.5000  1 Cu 2.51, 7 Ni 2.51-2.56, 4 Al 2.52
Ni: 0.2374 0.3767 0.0000  4 Al 2.49-2.54, 2 Cu 2.50, 6 Ni 2.53-2.56
Ni: 0.2626 0.8767 0.0000  4 Al 2.49-2.54, 2 Cu 2.50, 6 Ni 2.53-2.56
Ni: 0.4815 0.2499 0.5000  1 Cu 2.51, 7 Ni 2.51-2.56, 4 Al 2.52
Ni: 0.5000 0.5000 0.5000  2 Cu 2.51, 6 Ni 2.51-2.56, 4 Al 2.52
Ni: 0.5185 0.7501 0.5000  1 Cu 2.51, 7 Ni 2.51-2.56, 4 Al 2.52
Ni: 0.7374 0.1233 0.0000  4 Al 2.49-2.54, 2 Cu 2.50, 6 Ni 2.53-2.56
Ni: 0.7626 0.6233 0.0000  4 Al 2.49-2.54, 2 Cu 2.50, 6 Ni 2.53-2.56
Ni: 0.9815 0.2501 0.5000  1 Cu 2.51, 7 Ni 2.51-2.56, 4 Al 2.52

(10)
# Al2Cu3Ni

A relaxed Al2Cu3Ni crystal (GGA-PBE, Alexandria).

Results
The symmetry is P6_3/mmc. Its magnetization is 0.00 μB/cell. The value obtained for the formation energy is -135 meV/atom.

Cell: 4.8174 4.8174 7.7370 Å, 90.00 90.00 120.00°
Last column: nearest neighbours and their distance in Å.
Sites, in units of the cell vectors:
Al: 0.3333 0.6667 0.0564  9 Cu 2.73-2.84, 3 Ni 2.82, 4 Al 2.92-3.00
Al: 0.3333 0.6667 0.4436  9 Cu 2.73-2.84, 3 Ni 2.82, 4 Al 2.92-3.00
Al: 0.6667 0.3333 0.5564  9 Cu 2.73-2.84, 3 Ni 2.82, 4 Al 2.92-3.00
Al: 0.6667 0.3333 0.9436  9 Cu 2.73-2.84, 3 Ni 2.82, 4 Al 2.92-3.00
Cu: 0.1699 0.3399 0.7500  4 Cu 2.36-2.46, 2 Ni 2.40
Cu: 0.1699 0.8301 0.7500  4 Cu 2.36-2.46, 2 Ni 2.40
Cu: 0.3399 0.1699 0.2500  4 Cu 2.36-2.46, 2 Ni 2.40
Cu: 0.6601 0.8301 0.7500  4 Cu 2.36-2.46, 2 Ni 2.40
Cu: 0.8301 0.1699 0.2500  4 Cu 2.36-2.46, 2 Ni 2.40
Cu: 0.8301 0.6601 0.2500  4 Cu 2.36-2.46, 2 Ni 2.40
Ni: 0.0000 0.0000 0.0000  6 Cu 2.40
Ni: 0.0000 0.0000 0.5000  6 Cu 2.40